Record 1
Here is an optimized crystal structure of BaSi2HO from Alexandria. Energies are from PBE-GGA.

**Energy**: -4.468 eV per atom
**Symmetry**: P4/mmm, No. 123
**Calculated density**: 3.5 g cm⁻³

a = 3.711 Å, b = 7.235 Å, c = 3.711 Å
α = 90.00°, β = 90.00°, γ = 90.00°
Element x y z (fractional)
H  0.000  0.000  0.000
Si  0.000  0.000  0.500
Si  0.500  0.000  0.000
Ba  0.500  0.500  0.500
O  0.000  0.500  0.000


Record 2
Here is an optimized crystal structure of BaSiH2O4 from Alexandria. Energies are from PBE-GGA.

**Energy**: -6.465 eV per atom
**Symmetry**: P-1, No. 2
**Calculated density**: 3.7 g cm⁻³
**Relative energy among the computed polymorphs**: 0.000 eV per atom

a = 7.215 Å, b = 7.580 Å, c = 7.706 Å
α = 90.00°, β = 89.98°, γ = 77.15°
Element x y z (fractional)
Ba  0.082  0.789  0.209
Ba  0.918  0.211  0.791
Ba  0.418  0.712  0.709
Ba  0.582  0.288  0.291
Si  0.586  0.758  0.236
Si  0.414  0.242  0.764
Si  0.087  0.258  0.264
Si  0.913  0.742  0.736
H  0.768  0.593  0.010
H  0.232  0.407  0.990
H  0.269  0.094  0.490
H  0.731  0.906  0.510
H  0.105  0.525  0.570
H  0.895  0.475  0.430
H  0.605  0.025  0.929
H  0.395  0.975  0.071
O  0.698  0.906  0.310
O  0.302  0.094  0.690
O  0.962  0.168  0.132
O  0.038  0.832  0.868
O  0.740  0.586  0.141
O  0.260  0.414  0.859
O  0.445  0.845  0.062
O  0.555  0.155  0.938
O  0.945  0.345  0.438
O  0.055  0.655  0.562
O  0.198  0.406  0.190
O  0.802  0.594  0.810
O  0.461  0.669  0.368
O  0.539  0.331  0.632
O  0.241  0.087  0.359
O  0.759  0.913  0.641